# V2CdAsO8 PBE+U optimized geometry
# Uncorrected energy: -6.42 eV per atom
data_V2CdAsO8
_chemical_formula_sum 'V2 Cd1 As1 O8'
_symmetry_space_group_name_H-M 'P -3 m 1'
_symmetry_Int_Tables_number 164
_symmetry_space_group_name_Hall '-P 3 2"'
_cell_length_a 5.6407
_cell_length_b 5.6407
_cell_length_c 6.1364
_cell_angle_alpha 90.00
_cell_angle_beta 90.00
_cell_angle_gamma 120.00
loop_
_atom_site_label
_atom_site_type_symbol
_atom_site_fract_x
_atom_site_fract_y
_atom_site_fract_z
_atom_site_occupancy
V1 V 0.3333 0.6667 0.2764 1
Cd1 Cd 0.0000 0.0000 0.5000 1
As1 As 0.0000 0.0000 0.0000 1
O1 O 0.1552 0.3105 0.1987 1
O2 O 0.3333 0.6667 0.5431 1